Density functional theory data (PBE) for Nb2Ni3Sn after structural relaxation.

Output
- crystal system = orthorhombic
- energy (eV/atom) = -7.022
- M_tot (μB per formula unit) = 0.00

Cell lengths 3.963, 12.377, 3.703 Å; angles 90.00, 90.00, 90.00 degrees
Space group Pmmn (No. 59, origin choice 2)
Unique sites:
1 Nb 0.250 0.082 0.000 (multiplicity 4)
2 Ni 0.250 0.250 0.499 (multiplicity 2)
3 Ni 0.250 0.571 0.500 (multiplicity 4)
4 Sn 0.250 0.750 0.001 (multiplicity 2)

---

Density functional theory data (PBE) for NbNi14Sn after structural relaxation.

Output
- crystal system = tetragonal
- energy (eV/atom) = -6.016
- M_tot (μB per formula unit) = 4.01

Cell lengths 5.145, 5.145, 7.135 Å; angles 90.00, 90.00, 90.00 degrees
Space group P4/mmm (No. 123)
Unique sites:
1 Nb 0.000 0.000 0.000 (multiplicity 1)
2 Ni 0.000 0.000 0.500 (multiplicity 1)
3 Ni 0.000 0.500 0.000 (multiplicity 2)
4 Ni 0.000 0.500 0.500 (multiplicity 2)
5 Ni 0.247 0.247 0.262 (multiplicity 8)
6 Ni 0.500 0.500 0.500 (multiplicity 1)
7 Sn 0.500 0.500 0.000 (multiplicity 1)